DFT (PBE) results for a relaxed structure of BaNdP2O8.

Cell lengths 5.5111, 5.5111, 7.9273 Å; angles 90.00, 90.00, 120.00 degrees
Space group P-3m1 (No. 164)
One atom of each set of equivalent atoms:
1 Ba 0.0000 0.0000 0.0000
2 Nd 0.0000 0.0000 0.5000
3 P 0.3333 0.6667 0.7660
4 O 0.1803 0.3606 0.7012
5 O 0.3333 0.6667 0.9613

Computed properties:
Uncorrected energy: -7.414 eV/atom
Uncorrected formation energy: -31.79 eV per formula unit